A plane-wave DFT calculation with GGA-PBE was carried out for an optimized crystal structure of Tm8Ag2Rh.

Geometry as extended XYZ:
```
11
Lattice="8.578 -2.576 0.000 8.578 2.576 0.000 -2.118 0.000 6.406" Properties=species:S:1:pos:R:3 pbc="T T T"
Tm -0.145 0.000 1.849
Tm 1.707 0.000 5.159
Tm 4.702 0.000 3.418
Tm 6.874 0.000 0.439
Tm 8.165 0.000 5.967
Tm 10.337 0.000 2.988
Tm 13.331 0.000 1.247
Tm 15.184 0.000 4.557
Ag 2.692 0.000 1.366
Ag 12.346 0.000 5.040
Rh 7.519 0.000 3.203
```

**Calculated formation energy**: -0.284 eV/atom
**D(E_F)**: 9.57 states/eV/f.u.
**Energy above the lowest structure with this stoichiometry**: 0 meV/atom